# BaGe2Pd

A relaxed structure of BaGe2Pd (PBE, Alexandria via LeMat-Bulk).

Results
The value obtained for the formation enthalpy at 0 K is -0.61 eV per atom. The total magnetization is 0.00 μB per atom. Its final energy is -4.70 eV/atom. For the density of states at the Fermi level, the calculation gives 0.722 states/eV per atom.

```
8
Lattice="4.755 0.000 0.000 0.000 4.409 0.000 -2.374 0.000 9.190" Properties=species:S:1:pos:R:3 pbc="T T T"
Ba 0.001 1.102 1.972
Ba 2.380 3.307 7.219
Ge 0.003 3.307 4.590
Ge -0.003 1.102 8.471
Ge 2.384 3.307 0.720
Ge 2.378 1.102 4.600
Pd 0.000 1.102 5.881
Pd 2.380 3.307 3.309
```

---

# PrDy12Ho7

A relaxed structure of PrDy12Ho7 (PBE, Alexandria via LeMat-Bulk).

Results
The value obtained for the relative energy among the computed polymorphs is 0.0 meV/atom. The value obtained for the formation enthalpy at 0 K is 0.24 eV per atom. The total magnetization is 0.00 μB per atom. Its final energy is -4.36 eV/atom. For the density of states at the Fermi level, the calculation gives 1.745 states/eV per atom.

```
20
Lattice="5.980 3.453 5.285 -5.980 3.453 5.285 0.000 -6.905 5.285" Properties=species:S:1:pos:R:3 pbc="T T T"
Pr 0.000 0.000 0.000
Dy -1.443 -1.427 4.665
Dy -3.166 0.989 7.111
Dy -2.440 -2.247 8.743
Dy -0.514 1.963 4.665
Dy 0.726 -3.236 7.111
Dy 1.957 -0.536 4.665
Dy -1.957 0.536 11.190
Dy -0.726 3.236 8.743
Dy 0.514 -1.963 11.190
Dy 2.440 2.247 7.111
Dy 3.166 -0.989 8.743
Dy 1.443 1.427 11.190
Ho -2.191 -4.768 6.599
Ho -5.225 -0.486 9.256
Ho -3.033 4.282 6.599
Ho 0.000 0.000 7.927
Ho 3.033 -4.282 9.256
Ho 5.225 0.486 6.599
Ho 2.191 4.768 9.256
```